Record 1
This record from the Alexandria database describes an optimized crystal structure of La2YSe2O2. The functional is PBE.

Properties
The raw formation energy comes out at -2.509 eV per atom. As for the space group: No. 139. As for the total energy: -7.2528 eV per atom. For the magnetic moment, the calculation gives 0.00 μB per cell. The calculated density is 6.13 g cm⁻³.

Cell: 8.4818 8.4818 8.4818 Å, 150.14 150.14 42.74°
With the nearest neighbours (Å) after each atom.
Atoms (fractional coordinates):
La1 0.1274 0.1274 0.0000  4 O 2.97, 5 Se 3.05-3.20
La2 0.8726 0.8726 0.0000  4 O 2.97, 5 Se 3.05-3.20
Y1 0.5000 0.5000 0.0000  4 O 2.19
Se1 0.3207 0.3207 0.0000  1 Y 2.83, 1 La 3.05
Se2 0.6793 0.6793 0.0000  1 Y 2.83, 1 La 3.05
O1 0.0000 0.5000 0.5000  2 Y 2.19
O2 0.5000 0.0000 0.5000  2 Y 2.19

Record 2
This record from the Alexandria database describes an optimized crystal structure of La2ZnSe2O2. The functional is PBE.

Properties
The raw formation energy comes out at -2.428 eV per atom. As for the space group: No. 64. As for the total energy: -6.4302 eV per atom. As for the energy above the lowest structure with this stoichiometry: 0.00 eV per formula unit. For the magnetic moment, the calculation gives 0.00 μB per cell. The calculated density is 5.93 g cm⁻³.

Cell: 14.6184 14.6184 5.7651 Å, 90.00 90.00 75.92°
With the nearest neighbours (Å) after each atom.
Atoms (fractional coordinates):
La1 0.0568 0.6932 0.2686  4 O 2.36-2.39
La2 0.0686 0.4314 0.2500  4 O 2.37-2.39
La3 0.1811 0.8189 0.7731  4 O 2.39
La4 0.1932 0.5568 0.7686  4 O 2.36-2.39
La5 0.3068 0.9432 0.2686  4 O 2.36-2.39
La6 0.3189 0.6811 0.2731  4 O 2.39
La7 0.4314 0.0686 0.7500  4 O 2.37-2.39
La8 0.4432 0.8068 0.7686  4 O 2.36-2.39
La9 0.5568 0.1932 0.2314  4 O 2.36-2.39
La10 0.5686 0.9314 0.2500  4 O 2.37-2.39
La11 0.6811 0.3189 0.7269  4 O 2.39
La12 0.6932 0.0568 0.7314  4 O 2.36-2.39
La13 0.8068 0.4432 0.2314  4 O 2.36-2.39
La14 0.8189 0.1811 0.2269  4 O 2.39
La15 0.9314 0.5686 0.7500  4 O 2.37-2.39
La16 0.9432 0.3068 0.7314  4 O 2.36-2.39
Zn1 0.0696 0.0696 0.5000  4 Se 2.50-2.52
Zn2 0.1896 0.1896 0.0000  4 Se 2.51
Zn3 0.3104 0.3104 0.5000  4 Se 2.51
Zn4 0.4304 0.4304 0.0000  4 Se 2.50-2.52
Zn5 0.5696 0.5696 0.0000  4 Se 2.50-2.52
Zn6 0.6896 0.6896 0.5000  4 Se 2.51
Zn7 0.8104 0.8104 0.0000  4 Se 2.51
Zn8 0.9304 0.9304 0.5000  4 Se 2.50-2.52
Se1 0.0424 0.2099 0.2374  2 Zn 2.50-2.51
Se2 0.0843 0.9157 0.2884  2 Zn 2.52
Se3 0.1659 0.3341 0.7500  2 Zn 2.51
Se4 0.2099 0.0424 0.7626  2 Zn 2.50-2.51
Se5 0.2901 0.4576 0.2626  2 Zn 2.50-2.51
Se6 0.3341 0.1659 0.2500  2 Zn 2.51
Se7 0.4157 0.5843 0.7884  2 Zn 2.52
Se8 0.4576 0.2901 0.7374  2 Zn 2.50-2.51
Se9 0.5424 0.7099 0.2626  2 Zn 2.50-2.51
Se10 0.5843 0.4157 0.2116  2 Zn 2.52
Se11 0.6659 0.8341 0.7500  2 Zn 2.51
Se12 0.7099 0.5424 0.7374  2 Zn 2.50-2.51
Se13 0.7901 0.9576 0.2374  2 Zn 2.50-2.51
Se14 0.8341 0.6659 0.2500  2 Zn 2.51
Se15 0.9157 0.0843 0.7116  2 Zn 2.52
Se16 0.9576 0.7901 0.7626  2 Zn 2.50-2.51
O1 0.0602 0.5648 0.0087  4 La 2.37-2.39
O2 0.0648 0.5602 0.5087  4 La 2.37-2.39
O3 0.1872 0.6875 0.0231  4 La 2.36-2.39
O4 0.1875 0.6872 0.5231  4 La 2.36-2.39
O5 0.3125 0.8128 0.0231  4 La 2.36-2.39
O6 0.3128 0.8125 0.5231  4 La 2.36-2.39
O7 0.4352 0.9398 0.0087  4 La 2.37-2.39
O8 0.4398 0.9352 0.5087  4 La 2.37-2.39
O9 0.5602 0.0648 0.4913  4 La 2.37-2.39
O10 0.5648 0.0602 0.9913  4 La 2.37-2.39
O11 0.6872 0.1875 0.4769  4 La 2.36-2.39
O12 0.6875 0.1872 0.9769  4 La 2.36-2.39
O13 0.8125 0.3128 0.4769  4 La 2.36-2.39
O14 0.8128 0.3125 0.9769  4 La 2.36-2.39
O15 0.9352 0.4398 0.4913  4 La 2.37-2.39
O16 0.9398 0.4352 0.9913  4 La 2.37-2.39

no.,density of states at the Fermi level (states/eV/f.u.)
1,3.90
2,0.00